Record 1
Zr3Ti | PBE-GGA | relaxed

a = 3.1779 Å, b = 5.0418 Å, c = 5.4740 Å
α = 90.00°, β = 90.00°, γ = 90.00°
With the nearest neighbours (Å) after each atom.
Element x y z (fractional)
Zr 0.5000 0.0000 0.4962  8 Zr 3.12-3.18, 4 Ti 3.15-3.18
Zr 0.5000 0.5000 0.8418  4 Ti 3.10, 8 Zr 3.10-3.23
Zr 0.0000 0.5000 0.3289  2 Ti 3.10, 10 Zr 3.10-3.23
Ti 0.0000 0.0000 0.9996  10 Zr 3.10-3.18, 2 Ti 3.18

## Properties
**ΔH_f (0 K)**: 46 meV/atom
**Total DFT energy (no corrections)**: -33.356 eV per cell
**ΔE to the lowest computed polymorph**: 2.3 meV per atom

Record 2
Pr4CuBr5 | PBE-GGA | relaxed

a = 4.0979 Å, b = 8.8277 Å, c = 9.5805 Å
α = 101.95°, β = 102.35°, γ = 90.00°
With the nearest neighbours (Å) after each atom.
Element x y z (fractional)
Br 0.1701 0.8210 0.3402  4 Pr 3.08-3.16
Br 0.5000 0.5000 0.0000  4 Pr 3.18
Br 0.8299 0.1790 0.6598  4 Pr 3.08-3.16
Br 0.8324 0.6682 0.6648  3 Pr 3.03-3.05
Br 0.1676 0.3318 0.3352  3 Pr 3.03-3.05
Pr 0.3425 0.9248 0.6850  1 Cu 2.88, 5 Br 3.03-3.16
Pr 0.0017 0.2253 0.0034  2 Cu 2.85, 4 Br 3.05-3.18
Pr 0.9983 0.7747 0.9966  2 Cu 2.85, 4 Br 3.05-3.18
Pr 0.6575 0.0752 0.3150  1 Cu 2.88, 5 Br 3.03-3.16
Cu 0.5000 0.0000 0.0000  6 Pr 2.85-2.88

## Properties
**Total DFT energy (no corrections)**: -44.725 eV per cell

D(E_F), respectively: 0.85, 0.62 states/eV/atom.